# PBE-GGA Zr2ZnCo, relaxed
data_Zr2ZnCo
_chemical_formula_sum 'Zr2 Zn1 Co1'
_cell_length_a 5.310
_cell_length_b 5.310
_cell_length_c 5.310
_cell_angle_alpha 136.81
_cell_angle_beta 136.81
_cell_angle_gamma 62.74
_space_group_name_H-M_alt 'P 1'
_space_group_IT_number 1
_space_group_name_Hall 'P 1'
loop_
_atom_site_label
_atom_site_type_symbol
_atom_site_fract_x
_atom_site_fract_y
_atom_site_fract_z
Zr1 Zr 0.000 0.000 0.000
Zr2 Zr 0.750 0.250 0.500
Zn1 Zn 0.500 0.500 0.000
Co1 Co 0.250 0.750 0.500
# ΔE_f	-87	meV/atom